1.
The following is a PBE calculation of crystalline BaNa3B at its relaxed geometry, from Alexandria via LeMat-Bulk.

Output
- spin magnetization (μB per cell) = 0.0
- space group = No. 221
- ΔE_f (eV per atom) = 1.6995

Cell: 7.118 7.118 7.118 Å, 90.00 90.00 90.00°
Each line ends with the local moment (μB).
Element x y z (fractional)
Na1 0.000 0.500 0.000  -0.04
Na2 0.000 0.000 0.500  -0.04
Na3 0.500 0.000 0.000  -0.04
B1 0.500 0.500 0.500  0.35
Ba1 0.000 0.000 0.000  -0.19

=====

2.
The following is a PBE calculation of crystalline Ba2NaB at its relaxed geometry, from Alexandria via LeMat-Bulk.

Output
- spin magnetization (μB per cell) = 0.0
- space group = No. 122
- ΔE_f (eV per atom) = 0.6320

Cell: 9.125 9.125 7.649 Å, 53.38 53.38 90.00°
Element x y z (fractional)
Na1 0.000 0.000 0.000
Na2 0.750 0.250 0.500
B1 0.500 0.500 0.000
B2 0.250 0.750 0.500
Ba1 0.526 0.125 0.250
Ba2 0.224 0.625 0.250
Ba3 0.375 0.474 0.750
Ba4 0.875 0.776 0.750

=====

3.
The following is a PBE calculation of crystalline Ba3NaB24 at its relaxed geometry, from Alexandria via LeMat-Bulk.

Output
- spin magnetization (μB per cell) = 0.0
- space group = No. 123
- ΔE_f (eV per atom) = -0.3157

Cell: 4.257 4.257 16.978 Å, 90.00 90.00 90.00°
Element x y z (fractional)
Ba1 0.000 0.000 0.244
Ba2 0.000 0.000 0.500
Ba3 0.000 0.000 0.756
Na1 0.000 0.000 0.000
B1 0.202 0.500 0.122
B2 0.204 0.500 0.374
B3 0.204 0.500 0.626
B4 0.202 0.500 0.878
B5 0.500 0.500 0.197
B6 0.500 0.500 0.448
B7 0.500 0.500 0.700
B8 0.500 0.500 0.951
B9 0.500 0.202 0.122
B10 0.500 0.204 0.374
B11 0.500 0.204 0.626
B12 0.500 0.202 0.878
B13 0.500 0.500 0.049
B14 0.500 0.500 0.300
B15 0.500 0.500 0.552
B16 0.500 0.500 0.803
B17 0.500 0.798 0.122
B18 0.500 0.796 0.374
B19 0.500 0.796 0.626
B20 0.500 0.798 0.878
B21 0.798 0.500 0.122
B22 0.796 0.500 0.374
B23 0.796 0.500 0.626
B24 0.798 0.500 0.878

=====

4.
The following is a PBE calculation of crystalline BaNaB12 at its relaxed geometry, from Alexandria via LeMat-Bulk.

Output
- spin magnetization (μB per cell) = 0.0
- space group = No. 225
- ΔE_f (eV per atom) = -0.2156

Cell: 5.976 5.976 5.976 Å, 60.00 60.00 60.00°
Element x y z (fractional)
Ba1 0.000 0.000 0.000
Na1 0.500 0.500 0.500
B1 0.899 0.899 0.601
B2 0.399 0.399 0.101
B3 0.601 0.899 0.601
B4 0.101 0.399 0.101
B5 0.899 0.601 0.601
B6 0.399 0.101 0.101
B7 0.899 0.601 0.899
B8 0.399 0.101 0.399
B9 0.601 0.899 0.899
B10 0.101 0.399 0.399
B11 0.601 0.601 0.899
B12 0.101 0.101 0.399

=====

5.
The following is a PBE calculation of crystalline Ba2NaB2O6 at its relaxed geometry, from Alexandria via LeMat-Bulk.

Output
- formation energy (no corrections) (meV/atom) = -2453
- spin magnetization (μB per cell) = 1.0
- space group = No. 12

Cell: 5.407 5.750 6.812 Å, 115.95 90.00 118.05°
Each line ends with the local moment (μB).
Element x y z (fractional)
Ba1 0.707 0.414 0.197  0.00
Ba2 0.293 0.586 0.803  0.00
Na1 0.500 0.000 0.500  0.00
B1 0.959 0.919 0.752  -0.01
B2 0.041 0.081 0.248  -0.01
O1 0.803 0.606 0.659  0.16
O2 0.183 0.924 0.207  0.14
O3 0.259 0.076 0.793  0.14
O4 0.817 0.076 0.793  0.14
O5 0.741 0.924 0.207  0.14
O6 0.197 0.394 0.341  0.16

=====

6.
The following is a PBE calculation of crystalline Ba3NaB2O6 at its relaxed geometry, from Alexandria via LeMat-Bulk.

Output
- formation energy (no corrections) (meV/atom) = -2463
- spin magnetization (μB per cell) = 0.0
- space group = No. 164

Cell: 5.623 5.623 7.468 Å, 90.00 90.00 120.00°
Element x y z (fractional)
Ba1 0.333 0.667 0.680
Ba2 0.667 0.333 0.320
Ba3 0.000 0.000 0.000
Na1 0.000 0.000 0.500
B1 0.667 0.333 0.721
B2 0.333 0.667 0.279
O1 0.620 0.810 0.290
O2 0.190 0.380 0.290
O3 0.190 0.810 0.290
O4 0.810 0.620 0.710
O5 0.380 0.190 0.710
O6 0.810 0.190 0.710